(1)
{"formula": "CaCuSbBr2", "functional": "PBE", "state": "relaxed", "m_tot_mub_per_cell": 2.0, "formation_energy_uncorrected_ev_per_atom": -0.093, "rho_g_cm3": 3.48, "n_ef_per_ev_cell": 2.96, "polymorph_energy_mev_per_atom": 306.5, "lattice": [[5.405, 0.000, 0.000], [0.000, 6.284, 0.000], [0.000, 0.000, 5.405]], "species": ["Br", "Br", "Sb", "Ca", "Cu"], "fractional_positions": [[0.500, 0.000, 0.000], [0.000, 0.000, 0.500], [0.500, 0.500, 0.500], [0.000, 0.000, 0.000], [0.000, 0.500, 0.000]]}


(2)
{"formula": "HfZrBe3", "functional": "PBE", "state": "relaxed", "m_tot_mub_per_cell": 1.7, "delta_e_f_ev_per_atom": 1.232, "rho_g_cm3": 5.60, "n_ef_per_ev_cell": 4.13, "polymorph_energy_mev_per_atom": 0.0, "lattice": [[-2.860, -3.308, 0.806], [2.415, -2.713, -2.565], [2.400, -1.212, 3.542]], "species": ["Zr", "Be", "Be", "Be", "Hf"], "fractional_positions": [[0.500, 0.500, 0.500], [0.000, 0.000, 0.500], [0.000, 0.500, 0.000], [0.500, 0.000, 0.000], [0.000, 0.000, 0.000]]}


(3)
{"formula": "Zr3CoHg", "functional": "PBE", "state": "relaxed", "m_tot_mub_per_cell": 0.0, "delta_e_f_ev_per_atom": 0.096, "rho_g_cm3": 7.88, "n_ef_per_ev_cell": 8.00, "polymorph_energy_mev_per_atom": 271.0, "lattice": [[-0.137, -3.691, -3.105], [-0.492, -3.080, 3.683], [-4.799, 0.422, -0.289]], "species": ["Zr", "Zr", "Zr", "Co", "Hg"], "fractional_positions": [[0.500, 0.000, 0.000], [0.000, 0.000, 0.500], [0.000, 0.500, 0.000], [0.000, 0.000, 0.000], [0.500, 0.500, 0.500]]}


| no. | total energy (eV/f.u.) |
| --- | --- |
| 1 | -14.03 |
| 2 | -23.52 |
| 3 | -32.57 |